No. 1
# SbTe2Rh

A geometry-optimized SbTe2Rh structure (GGA-PBEsol, the Alexandria database).

Lattice parameters (Å, degrees): 3.1833 3.1833 9.3880 90.00 90.00 90.00
With the nearest neighbours (Å) after each atom.
Fractional positions:
Rh1 0.0000 0.0000 0.4954  4 Te 2.75, 4 Sb 2.84
Sb1 0.5000 0.5000 0.6790  4 Rh 2.84
Te1 0.0000 0.0000 0.9985  4 Te 3.18
Te2 0.5000 0.5000 0.3270  4 Rh 2.75

Properties
raw formation energy: -0.35 eV/f.u.
raw total energy: -5.02 eV per atom


No. 2
# GaFe3Ag

A geometry-optimized GaFe3Ag structure (GGA-PBEsol, the Alexandria database).

Lattice parameters (Å, degrees): 4.3432 4.3432 4.3432 90.00 90.00 90.00
With the nearest neighbours (Å) after each atom.
Fractional positions:
Ga1 0.0000 0.0000 0.0000  6 Fe 2.17
Ag1 0.5000 0.5000 0.5000  12 Fe 3.07
Fe1 0.0000 0.5000 0.0000  2 Ga 2.17
Fe2 0.0000 0.0000 0.5000  2 Ga 2.17
Fe3 0.5000 0.0000 0.0000  2 Ga 2.17

Properties
E above lowest polymorph: 0 meV per atom
raw total energy: -5.58 eV per atom
ΔE_f: 1.131 eV per atom


No. 3
# MgGaPO2

A geometry-optimized MgGaPO2 structure (GGA-PBEsol, the Alexandria database).

Lattice parameters (Å, degrees): 3.7556 3.7556 5.1080 90.00 90.00 90.00
With the nearest neighbours (Å) after each atom.
Fractional positions:
P1 0.0000 0.0000 0.5000  2 Ga 2.55, 4 Mg 2.66
Mg1 0.5000 0.5000 0.5000  4 P 2.66
O1 0.0000 0.5000 0.0000  2 Ga 1.88
O2 0.5000 0.0000 0.0000  2 Ga 1.88
Ga1 0.0000 0.0000 0.0000  4 O 1.88

Properties
raw formation energy: -2.53 eV/f.u.
E above lowest polymorph: 0 meV per atom
raw total energy: -4.77 eV per atom


No. 4
# MgZn4Ir

A geometry-optimized MgZn4Ir structure (GGA-PBEsol, the Alexandria database).

Lattice parameters (Å, degrees): 4.9102 4.9102 4.9102 60.00 60.00 60.00
With the nearest neighbours (Å) after each atom.
Fractional positions:
Zn1 0.3755 0.3755 0.3755  6 Zn 2.44-2.47
Zn2 0.3755 0.3755 0.8734  6 Zn 2.44-2.47
Zn3 0.8734 0.3755 0.3755  6 Zn 2.44-2.47
Zn4 0.3755 0.8734 0.3755  6 Zn 2.44-2.47
Ir1 0.7500 0.7500 0.7500  12 Zn 2.88, 4 Mg 3.01
Mg1 0.0000 0.0000 0.0000  12 Zn 2.88, 4 Ir 3.01

Properties
raw total energy: -3.16 eV per atom
ΔE_f: -0.184 eV per atom


No. 5
# LiCa2Ga2

A geometry-optimized LiCa2Ga2 structure (GGA-PBEsol, the Alexandria database).

Lattice parameters (Å, degrees): 3.9609 7.8985 7.8985 90.00 90.00 90.00
With the nearest neighbours (Å) after each atom.
Fractional positions:
Ca1 0.5000 0.1731 0.6731  6 Ga 3.03-3.08
Ca2 0.5000 0.6731 0.8269  6 Ga 3.03-3.08
Ca3 0.5000 0.8269 0.3269  6 Ga 3.03-3.08
Ca4 0.5000 0.3269 0.1731  6 Ga 3.03-3.08
Ga1 0.0000 0.3782 0.8782  1 Ga 2.72, 2 Ca 3.03
Ga2 0.0000 0.8782 0.6218  1 Ga 2.72, 2 Ca 3.03
Ga3 0.0000 0.6218 0.1218  1 Ga 2.72, 2 Ca 3.03
Ga4 0.0000 0.1218 0.3782  1 Ga 2.72, 2 Ca 3.03
Li1 0.0000 0.0000 0.0000  4 Ga 3.14
Li2 0.0000 0.5000 0.5000  4 Ga 3.14

Properties
E above lowest polymorph: 0 meV per atom
raw total energy: -2.92 eV per atom
ΔE_f: -0.334 eV per atom


No. 6
# Sr2CaAlOs

A geometry-optimized Sr2CaAlOs structure (GGA-PBEsol, the Alexandria database).

Lattice parameters (Å, degrees): 5.4188 5.6482 5.6482 90.00 90.00 90.00
With the nearest neighbours (Å) after each atom.
Fractional positions:
Sr1 0.0000 0.0000 0.5000  2 Os 2.82
Sr2 0.0000 0.5000 0.0000  2 Os 2.82
Ca1 0.5000 0.0000 0.0000  2 Os 2.71
Os1 0.0000 0.0000 0.0000  2 Ca 2.71, 4 Sr 2.82
Al1 0.5000 0.5000 0.5000  8 Sr 3.91, 4 Ca 3.99

Properties
raw total energy: -3.84 eV per atom
ΔE_f: 0.586 eV per atom


No. 7
# Mg2InAu

A geometry-optimized Mg2InAu structure (GGA-PBEsol, the Alexandria database).

Lattice parameters (Å, degrees): 4.0214 4.3889 4.3889 90.00 90.00 90.00
With the nearest neighbours (Å) after each atom.
Fractional positions:
Mg1 0.0000 0.0000 0.5000  4 Au 2.98, 4 In 2.98, 4 Mg 3.10
Mg2 0.0000 0.5000 0.0000  4 In 2.98, 4 Au 2.98, 4 Mg 3.10
Au1 0.5000 0.5000 0.5000  8 Mg 2.98, 4 In 3.10
In1 0.5000 0.0000 0.0000  8 Mg 2.98, 4 Au 3.10

Properties
raw total energy: -2.91 eV per atom
ΔE_f: -0.322 eV per atom


No. 8
# NbMoN2

A geometry-optimized NbMoN2 structure (GGA-PBEsol, the Alexandria database).

Lattice parameters (Å, degrees): 3.1057 3.1057 5.2473 72.79 72.79 60.00
With the nearest neighbours (Å) after each atom.
Fractional positions:
Nb1 0.5000 0.5000 0.5000  6 N 2.20
Mo1 0.0000 0.0000 0.0000  6 N 2.16
N1 0.7476 0.7476 0.7571  3 Mo 2.16, 3 Nb 2.20
N2 0.2524 0.2524 0.2429  3 Mo 2.16, 3 Nb 2.20

Properties
raw formation energy: -2.62 eV/f.u.
raw total energy: -10.57 eV per atom


No. 9
# Sr2MgZn2

A geometry-optimized Sr2MgZn2 structure (GGA-PBEsol, the Alexandria database).

Lattice parameters (Å, degrees): 4.3996 8.0518 8.0518 90.00 90.00 90.00
With the nearest neighbours (Å) after each atom.
Fractional positions:
Sr1 0.5000 0.1817 0.6817  6 Zn 3.20-3.29
Sr2 0.5000 0.6817 0.8183  6 Zn 3.20-3.29
Sr3 0.5000 0.8183 0.3183  6 Zn 3.20-3.29
Sr4 0.5000 0.3183 0.1817  6 Zn 3.20-3.29
Zn1 0.0000 0.3864 0.8864  1 Zn 2.59
Zn2 0.0000 0.8864 0.6136  1 Zn 2.59
Zn3 0.0000 0.6136 0.1136  1 Zn 2.59
Zn4 0.0000 0.1136 0.3864  1 Zn 2.59
Mg1 0.0000 0.0000 0.0000  4 Zn 3.24
Mg2 0.0000 0.5000 0.5000  4 Zn 3.24

Properties
raw total energy: -1.83 eV per atom
ΔE_f: -0.122 eV per atom


No. 10
# AlZnOs3

A geometry-optimized AlZnOs3 structure (GGA-PBEsol, the Alexandria database).

Lattice parameters (Å, degrees): 4.3807 4.3807 4.3807 90.00 90.00 90.00
With the nearest neighbours (Å) after each atom.
Fractional positions:
Zn1 0.5000 0.5000 0.5000  12 Os 3.10
Os1 0.0000 0.5000 0.0000  2 Al 2.19
Os2 0.0000 0.0000 0.5000  2 Al 2.19
Os3 0.5000 0.0000 0.0000  2 Al 2.19
Al1 0.0000 0.0000 0.0000  6 Os 2.19

Properties
raw total energy: -6.66 eV per atom
ΔE_f: 1.802 eV per atom


No. 11
# ThSbRh

A geometry-optimized ThSbRh structure (GGA-PBEsol, the Alexandria database).

Lattice parameters (Å, degrees): 4.6950 4.6950 4.6950 60.00 60.00 60.00
With the nearest neighbours (Å) after each atom.
Fractional positions:
Sb1 0.5000 0.5000 0.5000  4 Rh 2.88
Rh1 0.7500 0.7500 0.7500  4 Th 2.88, 4 Sb 2.88
Th1 0.0000 0.0000 0.0000  4 Rh 2.88

Properties
raw formation energy: -3.10 eV/f.u.
raw total energy: -7.97 eV per atom


No. 12
# CrHgP2S

A geometry-optimized CrHgP2S structure (GGA-PBEsol, the Alexandria database).

Lattice parameters (Å, degrees): 4.3602 4.5082 4.5082 90.00 90.00 90.00
With the nearest neighbours (Å) after each atom.
Fractional positions:
Cr1 0.0000 0.0000 0.0000  2 S 2.18, 4 P 2.25
S1 0.5000 0.0000 0.0000  2 Cr 2.18
Hg1 0.5000 0.5000 0.5000  8 P 3.14, 4 S 3.19
P1 0.0000 0.0000 0.5000  2 Cr 2.25
P2 0.0000 0.5000 0.0000  2 Cr 2.25

Properties
raw formation energy: 1.60 eV/f.u.
raw total energy: -5.03 eV per atom


Q: Which value of raw total energy does entry 7 give?
A: -2.91 eV per atom


Q: Which formula does entry 7 have?
A: Mg2InAu


Q: What is the raw total energy in the third record?
A: -4.77 eV per atom


Q: The highest raw total energy belongs to which entry?
A: Sr2MgZn2